# 1
VASP calculation (PBE) on crystalline Pr2ZnPd5Pt2 at its relaxed geometry.

It has space group P4/mbm (No. 127), with a = 9.656 Å, b = 9.656 Å, c = 4.113 Å, α = 90.00°, β = 90.00° and γ = 90.00°. The asymmetric unit holds Pr at (0.171, 0.329, 0.000), Zn at (0.000, 0.000, 0.000), Pd at (0.000, 0.500, 0.500), Pd at (0.062, 0.805, 0.500) and Pt at (0.127, 0.627, 0.000).

For the total energy, the calculation gives -110.73 eV for the cell shown. For the total magnetization, the calculation gives 0.0 μB/f.u.

***

# 2
VASP calculation (PBE) on crystalline PrPu2Pd at its relaxed geometry.

It has space group R-3m (No. 166, hexagonal axes), with a = 3.5060 Å, b = 3.5060 Å, c = 32.1555 Å, α = 90.00°, β = 90.00° and γ = 120.00°. The asymmetric unit holds Pr at (0.0000, 0.0000, 0.0000), Pu at (0.0000, 0.0000, 0.1022) and Pd at (0.0000, 0.0000, 0.5000).

For the total energy, the calculation gives -113.96 eV for the cell shown. For the total magnetization, the calculation gives 12.2 μB/f.u.

***

# 3
VASP calculation (PBE) on crystalline PrPu2Pd9 at its relaxed geometry.

It has space group P4/mmm (No. 123), with a = 4.169 Å, b = 4.169 Å, c = 12.510 Å, α = 90.00°, β = 90.00° and γ = 90.00°. The asymmetric unit holds Pr at (0.000, 0.000, 0.000), Pu at (0.000, 0.000, 0.335), Pd at (0.000, 0.500, 0.173), Pd at (0.000, 0.500, 0.500), Pd at (0.500, 0.500, 0.000) and Pd at (0.500, 0.500, 0.335).

For the total energy, the calculation gives -87.66 eV for the cell shown. For the total magnetization, the calculation gives 8.7 μB/f.u.

***

# 4
VASP calculation (PBE) on crystalline PrPu2Pd at its relaxed geometry.

It has space group P4/mmm (No. 123), with a = 3.663 Å, b = 3.663 Å, c = 7.942 Å, α = 90.00°, β = 90.00° and γ = 90.00°. The asymmetric unit holds Pr at (0.000, 0.000, 0.000), Pu at (0.500, 0.500, 0.302) and Pd at (0.000, 0.000, 0.500).

For the total energy, the calculation gives -38.97 eV for the cell shown. For the total magnetization, the calculation gives 11.8 μB/f.u.

***

# 5
VASP calculation (PBE) on crystalline PrPuPd10 at its relaxed geometry.

It has space group Pmmm (No. 47), with a = 4.503 Å, b = 5.341 Å, c = 9.264 Å, α = 90.00°, β = 90.00° and γ = 90.00°. The asymmetric unit holds Pr at (0.000, 0.000, 0.000), Pu at (0.000, 0.500, 0.500), Pd at (0.000, 0.000, 0.337), Pd at (0.000, 0.500, 0.170), Pd at (0.500, 0.000, 0.500), Pd at (0.500, 0.250, 0.251) and Pd at (0.500, 0.500, 0.000).

For the total energy, the calculation gives -76.03 eV for the cell shown. For the total magnetization, the calculation gives 4.7 μB/f.u.

***

# 6
VASP calculation (PBE) on crystalline PrPu3Pd4 at its relaxed geometry.

It has space group Pmmm (No. 47), with a = 3.546 Å, b = 5.027 Å, c = 10.086 Å, α = 90.00°, β = 90.00° and γ = 90.00°. The asymmetric unit holds Pr at (0.000, 0.000, 0.000), Pu at (0.000, 0.000, 0.500), Pu at (0.000, 0.500, 0.256), Pd at (0.500, 0.000, 0.253), Pd at (0.500, 0.500, 0.000) and Pd at (0.500, 0.500, 0.500).

For the total energy, the calculation gives -72.29 eV for the cell shown. For the total magnetization, the calculation gives 17.1 μB/f.u.

***

# 7
VASP calculation (PBE) on crystalline Pr2Pu2Pd15 at its relaxed geometry.

It has space group R-3m (No. 166, hexagonal axes), with a = 9.2965 Å, b = 9.2965 Å, c = 14.1065 Å, α = 90.00°, β = 90.00° and γ = 120.00°. The asymmetric unit holds Pr at (0.0000, 0.0000, 0.1434), Pu at (0.0000, 0.0000, 0.4009), Pd at (0.0000, 0.3123, 0.5000), Pd at (0.0000, 0.5000, 0.0000) and Pd at (0.0050, 0.5025, 0.6561).

For the total energy, the calculation gives -375.08 eV for the cell shown. For the total magnetization, the calculation gives 10.2 μB/f.u.

***

# 8
VASP calculation (PBE) on crystalline PrPu3Pd8 at its relaxed geometry.

It has space group P3m1 (No. 156), with a = 5.4916 Å, b = 5.4916 Å, c = 8.9409 Å, α = 90.00°, β = 90.00° and γ = 120.00°. The asymmetric unit holds Pr at (0.0000, 0.0000, 0.0000), Pu at (0.0000, 0.0000, 0.3789), Pu at (0.6667, 0.3333, 0.4882), Pu at (0.6667, 0.3333, 0.8508), Pd at (0.1649, 0.3297, 0.6791), Pd at (0.3333, 0.6667, 0.4289), Pd at (0.3333, 0.6667, 0.9295) and Pd at (0.5025, 0.0051, 0.1804).

For the total energy, the calculation gives -96.17 eV for the cell shown. For the total magnetization, the calculation gives 16.9 μB/f.u.

***

# 9
VASP calculation (PBE) on crystalline Pr2PuPd9 at its relaxed geometry.

It has space group P4/mmm (No. 123), with a = 4.193 Å, b = 4.193 Å, c = 12.594 Å, α = 90.00°, β = 90.00° and γ = 90.00°. The asymmetric unit holds Pr at (0.000, 0.000, 0.168), Pu at (0.000, 0.000, 0.500), Pd at (0.000, 0.500, 0.000), Pd at (0.000, 0.500, 0.341), Pd at (0.500, 0.500, 0.169) and Pd at (0.500, 0.500, 0.500).

For the total energy, the calculation gives -78.82 eV for the cell shown. For the total magnetization, the calculation gives 4.2 μB/f.u.

***

# 10
VASP calculation (PBE) on crystalline PrPu4Pd5 at its relaxed geometry.

It has space group P4/mmm (No. 123), with a = 3.500 Å, b = 3.500 Å, c = 18.220 Å, α = 90.00°, β = 90.00° and γ = 90.00°. The asymmetric unit holds Pr at (0.000, 0.000, 0.000), Pu at (0.000, 0.000, 0.204), Pu at (0.000, 0.000, 0.402), Pd at (0.500, 0.500, 0.105), Pd at (0.500, 0.500, 0.302) and Pd at (0.500, 0.500, 0.500).

For the total energy, the calculation gives -92.51 eV for the cell shown. For the total magnetization, the calculation gives 0.1 μB/f.u.

***

# 11
VASP calculation (PBE) on crystalline Pr3PuPd8 at its relaxed geometry.

It has space group R3m (No. 160, hexagonal axes), with a = 5.5338 Å, b = 5.5338 Å, c = 27.0775 Å, α = 90.00°, β = 90.00° and γ = 120.00°. The asymmetric unit holds Pr at (0.0000, 0.0000, 0.0000), Pr at (0.0000, 0.0000, 0.1265), Pr at (0.0000, 0.0000, 0.6204), Pu at (0.0000, 0.0000, 0.4968), Pd at (0.0000, 0.0000, 0.3111), Pd at (0.0000, 0.0000, 0.8114), Pd at (0.0002, 0.5001, 0.0611) and Pd at (0.0015, 0.5007, 0.5610).

For the total energy, the calculation gives -235.54 eV for the cell shown. For the total magnetization, the calculation gives 5.6 μB/f.u.

***

# 12
VASP calculation (PBE) on crystalline PrPu2Sn2Pd2 at its relaxed geometry.

It has space group R-3m (No. 166, hexagonal axes), with a = 4.6629 Å, b = 4.6629 Å, c = 26.5855 Å, α = 90.00°, β = 90.00° and γ = 120.00°. The asymmetric unit holds Pr at (0.0000, 0.0000, 0.0000), Pu at (0.0000, 0.0000, 0.1420), Sn at (0.0000, 0.0000, 0.2632) and Pd at (0.0000, 0.0000, 0.4280).

For the total energy, the calculation gives -167.31 eV for the cell shown. For the total magnetization, the calculation gives 10.4 μB/f.u.

***

# 13
VASP calculation (PBE) on crystalline PrPuTlPd at its relaxed geometry.

It has space group F-43m (No. 216), with a = 7.505 Å, b = 7.505 Å, c = 7.505 Å, α = 90.00°, β = 90.00° and γ = 90.00°. The asymmetric unit holds Pr at (0.000, 0.000, 0.000), Pu at (0.000, 0.000, 0.500), Tl at (0.250, 0.250, 0.750) and Pd at (0.250, 0.250, 0.250).

For the total energy, the calculation gives -110.62 eV for the cell shown. For the total magnetization, the calculation gives 5.8 μB/f.u.

***

# 14
VASP calculation (PBE) on crystalline Pr2PuZn2Pd5 at its relaxed geometry.

It has space group P4/mbm (No. 127), with a = 10.078 Å, b = 10.078 Å, c = 3.942 Å, α = 90.00°, β = 90.00° and γ = 90.00°. The asymmetric unit holds Pr at (0.178, 0.322, 0.000), Pu at (0.000, 0.000, 0.000), Zn at (0.116, 0.616, 0.000), Pd at (0.000, 0.500, 0.500) and Pd at (0.066, 0.785, 0.500).

For the total energy, the calculation gives -116.85 eV for the cell shown. For the total magnetization, the calculation gives 5.3 μB/f.u.

***

# 15
VASP calculation (PBE) on crystalline Pr6PdRh2 at its relaxed geometry.

It has space group C2/m (No. 12), with a = 14.198 Å, b = 4.205 Å, c = 9.998 Å, α = 90.00°, β = 112.56° and γ = 90.00°. The asymmetric unit holds Pr at (0.077, 0.000, 0.323), Pr at (0.148, 0.500, 0.652), Pr at (0.154, 0.500, 0.059), Pd at (0.000, 0.000, 0.000) and Rh at (0.225, 0.500, 0.383).

For the total energy, the calculation gives -105.05 eV for the cell shown. For the total magnetization, the calculation gives 0.0 μB/f.u.

***

# 16
VASP calculation (PBE) on crystalline Pr2Pd2Rh at its relaxed geometry.

It has space group Amm2 (No. 38), with a = 3.865 Å, b = 4.037 Å, c = 14.600 Å, α = 90.00°, β = 90.00° and γ = 90.00°. The asymmetric unit holds Pr at (0.000, 0.000, 0.000), Pr at (0.000, 0.000, 0.250), Pd at (0.500, 0.000, 0.632), Pd at (0.500, 0.000, 0.824) and Rh at (0.500, 0.000, 0.444).

For the total energy, the calculation gives -61.30 eV for the cell shown. For the total magnetization, the calculation gives 0.0 μB/f.u.

***

# 17
VASP calculation (PBE) on crystalline Pr4PdRh at its relaxed geometry.

It has space group P4/mcc (No. 124), with a = 7.167 Å, b = 7.167 Å, c = 6.573 Å, α = 90.00°, β = 90.00° and γ = 90.00°. The asymmetric unit holds Pr at (0.175, 0.316, 0.000), Pd at (0.500, 0.500, 0.250) and Rh at (0.000, 0.000, 0.250).

For the total energy, the calculation gives -68.86 eV for the cell shown. For the total magnetization, the calculation gives 0.0 μB/f.u.

***

# 18
VASP calculation (PBE) on crystalline Pr4Pd2Rh at its relaxed geometry.

It has space group Cm (No. 8), with a = 11.582 Å, b = 9.258 Å, c = 7.683 Å, α = 90.00°, β = 110.52° and γ = 90.00°. The asymmetric unit holds Pr at (0.000, 0.000, 0.000), Pr at (0.000, 0.000, 0.494), Pr at (0.229, 0.242, 0.363), Pr at (0.230, 0.241, 0.859), Pr at (0.494, 0.000, 0.493), Pr at (0.497, 0.000, 0.000), Pd at (0.273, 0.500, 0.125), Pd at (0.277, 0.500, 0.638), Pd at (0.451, 0.251, 0.223), Rh at (0.268, 0.000, 0.124) and Rh at (0.277, 0.000, 0.638).

For the total energy, the calculation gives -164.64 eV for the cell shown. For the total magnetization, the calculation gives 0.0 μB/f.u.

***

# 19
VASP calculation (PBE) on crystalline Pr8PdRh5 at its relaxed geometry.

It has space group I-4 (No. 82), with a = 8.992 Å, b = 8.992 Å, c = 8.930 Å, α = 90.00°, β = 90.00° and γ = 90.00°. The asymmetric unit holds Pr at (0.058, 0.193, 0.182), Pr at (0.062, 0.314, 0.568), Pd at (0.000, 0.000, 0.500), Rh at (0.000, 0.500, 0.250) and Rh at (0.128, 0.252, 0.875).

For the total energy, the calculation gives -177.71 eV for the cell shown. For the total magnetization, the calculation gives 0.0 μB/f.u.

***

# 20
VASP calculation (PBE) on crystalline Pr8Pd5Rh at its relaxed geometry.

It has space group I-4 (No. 82), with a = 9.075 Å, b = 9.075 Å, c = 9.157 Å, α = 90.00°, β = 90.00° and γ = 90.00°. The asymmetric unit holds Pr at (0.057, 0.311, 0.437), Pr at (0.058, 0.198, 0.815), Pd at (0.000, 0.000, 0.500), Pd at (0.122, 0.250, 0.127) and Rh at (0.000, 0.500, 0.750).

For the total energy, the calculation gives -160.63 eV for the cell shown. For the total magnetization, the calculation gives 0.0 μB/f.u.